Entry 1:
Compound: Tb3Y8Zr
Source: Alexandria
Functional: PBE
Structure: optimized geometry

Unit cell a=6.734 b=6.734 c=9.765 alpha=90.07 beta=90.07 gamma=118.63
Atoms (fractional coordinates):
Tb 0.000 0.000 0.000
Tb 0.000 0.500 0.500
Tb 0.500 0.000 0.500
Y 0.252 0.252 0.695
Y 0.253 0.253 0.306
Y 0.257 0.741 0.180
Y 0.259 0.743 0.820
Y 0.741 0.257 0.180
Y 0.743 0.259 0.820
Y 0.747 0.747 0.694
Y 0.748 0.748 0.305
Zr 0.500 0.500 0.000

Summary:
- spin magnetization (μB/f.u.) = 0.00
- calculated volume (Å³/atom) = 32.385
- raw total energy (eV/atom) = -5.962
- crystal system = monoclinic
- SG = C2/m, No. 12

=====

Entry 2:
Compound: TbYZr
Source: Alexandria
Functional: PBE
Structure: optimized geometry

Unit cell a=5.341 b=5.341 c=6.938 alpha=90.00 beta=90.00 gamma=120.00
Atoms (fractional coordinates):
Tb 0.333 0.667 0.000
Tb 0.667 0.333 0.000
Y 0.000 0.000 0.265
Y 0.000 0.000 0.735
Zr 0.333 0.667 0.500
Zr 0.667 0.333 0.500

Summary:
- spin magnetization (μB/f.u.) = 0.00
- calculated volume (Å³/atom) = 28.560
- raw total energy (eV/atom) = -6.432
- crystal system = hexagonal
- SG = P6/mmm, No. 191

=====

Entry 3:
Compound: TbY2Zr
Source: Alexandria
Functional: PBE
Structure: optimized geometry

Unit cell a=5.529 b=5.529 c=5.529 alpha=60.00 beta=60.00 gamma=60.00
Atoms (fractional coordinates):
Tb 0.000 0.000 0.000
Y 0.250 0.250 0.250
Y 0.750 0.750 0.750
Zr 0.500 0.500 0.500

Summary:
- spin magnetization (μB/f.u.) = 2.84
- calculated volume (Å³/atom) = 29.876
- raw total energy (eV/atom) = -6.310
- crystal system = cubic
- SG = Fm-3m, No. 225

=====

Entry 4:
Compound: Tb2YZr
Source: Alexandria
Functional: PBE
Structure: optimized geometry

Unit cell a=12.149 b=12.149 c=12.149 alpha=15.96 beta=15.96 gamma=15.96
Atoms (fractional coordinates):
Tb 0.086 0.086 0.086
Tb 0.914 0.914 0.914
Y 0.500 0.500 0.500
Zr 0.000 0.000 0.000

Summary:
- spin magnetization (μB/f.u.) = 0.00
- calculated volume (Å³/atom) = 29.545
- raw total energy (eV/atom) = -5.764
- crystal system = trigonal
- SG = R-3m, No. 166

=====

Entry 5:
Compound: Tb8Y2Zr
Source: Alexandria
Functional: PBE
Structure: optimized geometry

Unit cell a=9.319 b=9.319 c=7.898 alpha=104.76 beta=104.76 gamma=30.96
Atoms (fractional coordinates):
Tb 0.044 0.044 0.236
Tb 0.132 0.132 0.674
Tb 0.322 0.322 0.590
Tb 0.411 0.411 0.057
Tb 0.589 0.589 0.943
Tb 0.678 0.678 0.410
Tb 0.868 0.868 0.326
Tb 0.956 0.956 0.764
Y 0.226 0.226 0.135
Y 0.774 0.774 0.865
Zr 0.500 0.500 0.500

Summary:
- spin magnetization (μB/f.u.) = 0.00
- calculated volume (Å³/atom) = 30.933
- raw total energy (eV/atom) = -5.274
- crystal system = monoclinic
- SG = C2/m, No. 12

=====

Entry 6:
Compound: Tb2YZr
Source: Alexandria
Functional: PBE
Structure: optimized geometry

Unit cell a=4.023 b=4.023 c=7.270 alpha=90.00 beta=90.00 gamma=90.00
Atoms (fractional coordinates):
Tb 0.000 0.000 0.224
Tb 0.000 0.000 0.776
Y 0.500 0.500 0.500
Zr 0.500 0.500 0.000

Summary:
- spin magnetization (μB/f.u.) = 0.00
- calculated volume (Å³/atom) = 29.419
- raw total energy (eV/atom) = -5.901
- crystal system = tetragonal
- SG = P4/mmm, No. 123

=====

Entry 7:
Compound: Tb4Y5Zr
Source: Alexandria
Functional: PBE
Structure: optimized geometry

Unit cell a=6.113 b=3.520 c=14.517 alpha=90.00 beta=98.17 gamma=90.00
Atoms (fractional coordinates):
Tb 0.098 0.000 0.310
Tb 0.393 0.500 0.695
Tb 0.607 0.500 0.305
Tb 0.902 0.000 0.690
Y 0.200 0.500 0.102
Y 0.299 0.000 0.899
Y 0.500 0.000 0.500
Y 0.701 0.000 0.101
Y 0.800 0.500 0.898
Zr 0.000 0.500 0.500

Summary:
- spin magnetization (μB/f.u.) = 0.00
- calculated volume (Å³/atom) = 30.917
- raw total energy (eV/atom) = -5.885
- crystal system = monoclinic
- SG = P2/m, No. 10

=====

Entry 8:
Compound: TbY2Zr
Source: Alexandria
Functional: PBE
Structure: optimized geometry

Unit cell a=4.881 b=4.881 c=4.901 alpha=90.00 beta=90.00 gamma=90.00
Atoms (fractional coordinates):
Tb 0.000 0.000 0.000
Y 0.000 0.500 0.500
Y 0.500 0.000 0.500
Zr 0.500 0.500 0.000

Summary:
- spin magnetization (μB/f.u.) = 0.00
- calculated volume (Å³/atom) = 29.186
- raw total energy (eV/atom) = -6.423
- crystal system = tetragonal
- SG = P4/mmm, No. 123

=====

Entry 9:
Compound: TbY2Zr
Source: Alexandria
Functional: PBE
Structure: optimized geometry

Unit cell a=11.405 b=11.405 c=11.405 alpha=17.55 beta=17.55 gamma=17.55
Atoms (fractional coordinates):
Tb 0.000 0.000 0.000
Y 0.578 0.578 0.578
Y 0.754 0.754 0.754
Zr 0.166 0.166 0.166

Summary:
- spin magnetization (μB/f.u.) = 0.00
- calculated volume (Å³/atom) = 29.445
- raw total energy (eV/atom) = -6.442
- crystal system = trigonal
- SG = R3m, No. 160

=====

Entry 10:
Compound: Tb2Y6Zr
Source: Alexandria
Functional: PBE
Structure: optimized geometry

Unit cell a=9.744 b=9.744 c=6.387 alpha=98.05 beta=98.05 gamma=72.59
Atoms (fractional coordinates):
Tb 0.166 0.231 0.409
Tb 0.231 0.166 0.909
Tb 0.769 0.834 0.091
Tb 0.834 0.769 0.591
Y 0.077 0.561 0.239
Y 0.116 0.834 0.989
Y 0.166 0.884 0.511
Y 0.281 0.494 0.748
Y 0.439 0.923 0.261
Y 0.494 0.281 0.248
Y 0.506 0.719 0.752
Y 0.561 0.077 0.739
Y 0.719 0.506 0.252
Y 0.834 0.116 0.489
Y 0.884 0.166 0.011
Y 0.923 0.439 0.761
Zr 0.374 0.626 0.250
Zr 0.626 0.374 0.750

Summary:
- spin magnetization (μB/f.u.) = 0.00
- calculated volume (Å³/atom) = 31.661
- raw total energy (eV/atom) = -6.133
- crystal system = monoclinic
- SG = C2/c, No. 15

=====

Entry 11:
Compound: Tb6Yb
Source: Alexandria
Functional: PBE
Structure: optimized geometry

Unit cell a=7.092 b=7.092 c=7.092 alpha=109.47 beta=109.47 gamma=109.47
Atoms (fractional coordinates):
Tb 0.250 0.500 0.750
Tb 0.250 0.750 0.500
Tb 0.500 0.250 0.750
Tb 0.500 0.750 0.250
Tb 0.750 0.250 0.500
Tb 0.750 0.500 0.250
Yb 0.000 0.000 0.000

Summary:
- spin magnetization (μB/f.u.) = 0.21
- calculated volume (Å³/atom) = 39.235
- raw total energy (eV/atom) = -2.816
- crystal system = cubic
- SG = Im-3m, No. 229

=====

Entry 12:
Compound: TbYb6
Source: Alexandria
Functional: PBE
Structure: optimized geometry

Unit cell a=7.492 b=7.492 c=7.492 alpha=109.47 beta=109.47 gamma=109.47
Atoms (fractional coordinates):
Tb 0.000 0.000 0.000
Yb 0.250 0.500 0.750
Yb 0.250 0.750 0.500
Yb 0.500 0.250 0.750
Yb 0.500 0.750 0.250
Yb 0.750 0.250 0.500
Yb 0.750 0.500 0.250

Summary:
- spin magnetization (μB/f.u.) = 0.00
- calculated volume (Å³/atom) = 46.243
- raw total energy (eV/atom) = -0.811
- crystal system = cubic
- SG = Im-3m, No. 229

=====

Entry 13:
Compound: TbZn
Source: Alexandria
Functional: PBE
Structure: optimized geometry

Unit cell a=3.584 b=3.584 c=3.584 alpha=90.00 beta=90.00 gamma=90.00
Atoms (fractional coordinates):
Tb 0.000 0.000 0.000
Zn 0.500 0.500 0.500

Summary:
- spin magnetization (μB/f.u.) = 0.00
- calculated volume (Å³/atom) = 23.010
- raw total energy (eV/atom) = -3.287
- crystal system = cubic
- SG = Pm-3m, No. 221

=====

Entry 14:
Compound: Tb13Zn2
Source: Alexandria
Functional: PBE
Structure: optimized geometry

Unit cell a=6.650 b=8.431 c=8.875 alpha=65.87 beta=79.01 gamma=82.63
Atoms (fractional coordinates):
Tb 0.000 0.000 0.000
Tb 0.123 0.476 0.730
Tb 0.194 0.236 0.148
Tb 0.240 0.946 0.574
Tb 0.308 0.660 0.968
Tb 0.357 0.412 0.391
Tb 0.492 0.860 0.207
Tb 0.508 0.140 0.793
Tb 0.643 0.588 0.609
Tb 0.692 0.340 0.032
Tb 0.760 0.054 0.426
Tb 0.806 0.764 0.852
Tb 0.877 0.524 0.270
Zn 0.058 0.767 0.382
Zn 0.942 0.233 0.618

Summary:
- spin magnetization (μB/f.u.) = 0.00
- calculated volume (Å³/atom) = 29.668
- raw total energy (eV/atom) = -4.224
- crystal system = triclinic
- SG = P-1, No. 2

=====

Entry 15:
Compound: Tb3Zn11
Source: Alexandria
Functional: PBE
Structure: optimized geometry

Unit cell a=8.140 b=8.140 c=8.140 alpha=148.31 beta=114.83 gamma=74.29
Atoms (fractional coordinates):
Tb 0.000 0.000 0.000
Tb 0.292 0.292 0.000
Tb 0.708 0.708 0.000
Zn 0.014 0.655 0.359
Zn 0.141 0.859 0.282
Zn 0.296 0.655 0.641
Zn 0.325 0.500 0.825
Zn 0.423 0.141 0.282
Zn 0.500 0.000 0.500
Zn 0.577 0.859 0.718
Zn 0.675 0.500 0.175
Zn 0.704 0.345 0.359
Zn 0.859 0.141 0.718
Zn 0.986 0.345 0.641

Summary:
- spin magnetization (μB/f.u.) = 0.00
- calculated volume (Å³/atom) = 18.064
- raw total energy (eV/atom) = -2.322
- crystal system = orthorhombic
- SG = Immm, No. 71

=====

Entry 16:
Compound: Tb4Zn
Source: Alexandria
Functional: PBE
Structure: optimized geometry

Unit cell a=8.801 b=8.801 c=8.801 alpha=136.59 beta=59.36 gamma=141.55
Atoms (fractional coordinates):
Tb 0.086 0.656 0.742
Tb 0.187 0.148 0.334
Tb 0.313 0.648 0.961
Tb 0.414 0.156 0.570
Tb 0.586 0.844 0.430
Tb 0.687 0.352 0.039
Tb 0.813 0.852 0.666
Tb 0.914 0.344 0.258
Zn 0.250 0.250 0.000
Zn 0.750 0.750 0.000

Summary:
- spin magnetization (μB/f.u.) = 0.00
- calculated volume (Å³/atom) = 28.853
- raw total energy (eV/atom) = -4.007
- crystal system = orthorhombic
- SG = Ibam, No. 72

=====

Entry 17:
Compound: Tb2Zn3
Source: Alexandria
Functional: PBE
Structure: optimized geometry

Unit cell a=13.627 b=13.627 c=4.488 alpha=90.00 beta=90.00 gamma=164.91
Atoms (fractional coordinates):
Tb 0.072 0.928 0.750
Tb 0.209 0.791 0.250
Tb 0.791 0.209 0.750
Tb 0.928 0.072 0.250
Zn 0.330 0.670 0.250
Zn 0.382 0.618 0.750
Zn 0.477 0.523 0.750
Zn 0.523 0.477 0.250
Zn 0.618 0.382 0.250
Zn 0.670 0.330 0.750

Summary:
- spin magnetization (μB/f.u.) = 0.00
- calculated volume (Å³/atom) = 21.702
- raw total energy (eV/atom) = -2.951
- crystal system = orthorhombic
- SG = Cmcm, No. 63

=====

Entry 18:
Compound: Tb5Zn2
Source: Alexandria
Functional: PBE
Structure: optimized geometry

Unit cell a=9.376 b=9.376 c=9.376 alpha=136.11 beta=62.62 gamma=137.67
Atoms (fractional coordinates):
Tb 0.021 0.250 0.771
Tb 0.090 0.640 0.729
Tb 0.250 0.250 0.000
Tb 0.410 0.140 0.550
Tb 0.479 0.250 0.229
Tb 0.521 0.750 0.771
Tb 0.590 0.860 0.450
Tb 0.750 0.750 0.000
Tb 0.910 0.360 0.271
Tb 0.979 0.750 0.229
Zn 0.116 0.240 0.356
Zn 0.384 0.740 0.125
Zn 0.616 0.260 0.875
Zn 0.884 0.760 0.644

Summary:
- spin magnetization (μB/f.u.) = 0.00
- calculated volume (Å³/atom) = 27.149
- raw total energy (eV/atom) = -3.780
- crystal system = orthorhombic
- SG = Ibam, No. 72

=====

Entry 19:
Compound: Tb3Zn8
Source: Alexandria
Functional: PBE
Structure: optimized geometry

Unit cell a=13.812 b=13.812 c=13.812 alpha=165.07 beta=161.57 gamma=23.80
Atoms (fractional coordinates):
Tb 0.000 0.000 0.000
Tb 0.356 0.856 0.500
Tb 0.644 0.144 0.500
Zn 0.094 0.594 0.500
Zn 0.188 0.688 0.500
Zn 0.258 0.258 0.000
Zn 0.452 0.452 0.000
Zn 0.548 0.548 0.000
Zn 0.742 0.742 0.000
Zn 0.812 0.312 0.500
Zn 0.906 0.406 0.500

Summary:
- spin magnetization (μB/f.u.) = 0.00
- calculated volume (Å³/atom) = 19.513
- raw total energy (eV/atom) = -2.526
- crystal system = orthorhombic
- SG = Immm, No. 71

=====

Entry 20:
Compound: TbZn4
Source: Alexandria
Functional: PBE
Structure: optimized geometry

Unit cell a=5.677 b=5.677 c=5.677 alpha=90.00 beta=90.00 gamma=90.00
Atoms (fractional coordinates):
Tb 0.000 0.000 0.000
Zn 0.000 0.000 0.500
Zn 0.000 0.500 0.000
Zn 0.500 0.000 0.000
Zn 0.500 0.500 0.500

Summary:
- spin magnetization (μB/f.u.) = 0.00
- calculated volume (Å³/atom) = 36.598
- raw total energy (eV/atom) = -1.040
- crystal system = cubic
- SG = Pm-3m, No. 221